# 1
PrAl2Ni3 | Alexandria via LeMat-Bulk | PBE | optimized geometry; final energy = -5.439 eV per atom; M_tot = 0.0 μB/cell; density = 6.33 Mg/m³; symmetry = Cmcm (63); polymorph energy (0 for the lowest one) = 0.18 eV/f.u.
1.0
5.229 0.000 0.000
0.000 6.160 0.370
0.000 -1.684 5.937
Pr Al Ni
2 4 6
Direct
0.250 0.315 0.315
0.750 0.685 0.685
0.500 0.787 0.213
0.000 0.787 0.213
0.000 0.213 0.787
0.500 0.213 0.787
0.750 0.453 0.107
0.750 0.107 0.453
0.250 0.547 0.893
0.750 0.057 0.057
0.250 0.943 0.943
0.250 0.893 0.547

# 2
CaRh4 | Alexandria via LeMat-Bulk | PBE | optimized geometry; final energy = -4.532 eV per atom; M_tot = 3.7 μB/cell; density = 7.42 Mg/m³; symmetry = Pm-3m (221); polymorph energy (0 for the lowest one) = 8.79 eV/f.u.
1.0
4.659 0.000 0.000
0.000 4.659 0.000
0.000 0.000 4.659
Ca Rh
1 4
Direct
0.500 0.500 0.500
0.000 0.000 0.000
0.500 0.000 0.500
0.000 0.500 0.500
0.500 0.500 0.000

# 3
Li2Ca2SbO6 | Alexandria via LeMat-Bulk | PBE | optimized geometry; final energy = -5.795 eV per atom; M_tot = 1.1 μB/cell; formation energy from raw total energies = -22.043 eV/f.u.; density = 4.00 Mg/m³; symmetry = P-31m (162)
1.0
-4.869 0.948 -1.863
0.624 -2.375 4.695
0.005 4.753 2.404
Li Ca Sb O
2 2 1 6
Direct
0.333 0.667 0.000
0.667 0.333 0.000
0.333 0.667 0.500
0.667 0.333 0.500
0.000 0.000 0.000
0.317 0.317 0.785
0.000 0.683 0.785
0.683 0.000 0.785
0.683 0.683 0.215
0.000 0.317 0.215
0.317 0.000 0.215

# 4
SrY2PuO8 | Alexandria via LeMat-Bulk | PBE | optimized geometry; final energy = -8.468 eV per atom; M_tot = 1.5 μB/cell; formation energy from raw total energies = -33.008 eV/f.u.; density = 6.36 Mg/m³; symmetry = P2/m (10)
1.0
4.141 -0.247 -0.002
-0.239 5.326 -0.006
0.004 0.008 7.567
Sr Y Pu O
1 2 1 8
Direct
0.000 0.000 0.500
0.500 0.500 0.755
0.500 0.500 0.245
0.000 0.000 0.000
0.049 0.759 0.205
0.568 0.774 0.000
0.951 0.241 0.205
0.951 0.241 0.795
0.432 0.226 0.000
0.049 0.759 0.795
0.492 0.722 0.500
0.508 0.278 0.500

# 5
AlReHg2 | Alexandria via LeMat-Bulk | PBE | optimized geometry; final energy = -3.425 eV per atom; M_tot = 0.5 μB/cell; density = 13.58 Mg/m³; symmetry = P4/mmm (123)
1.0
-2.723 0.964 -0.019
-0.866 -2.470 -1.222
-1.322 -3.573 8.157
Re Hg Al
1 2 1
Direct
0.500 0.500 0.250
0.000 0.000 0.005
0.000 0.000 0.495
0.500 0.500 0.750

# 6
NaHf2S4 | Alexandria via LeMat-Bulk | PBE | optimized geometry; final energy = -6.946 eV per atom; M_tot = 0.0 μB/cell; formation energy from raw total energies = -10.887 eV/f.u.; density = 5.27 Mg/m³; symmetry = C2/m (12); polymorph energy (0 for the lowest one) = 0.00 eV/f.u.
1.0
-1.281 3.241 -1.002
-0.631 -2.057 -5.851
-5.622 -2.703 5.009
Na Hf S
1 2 4
Direct
0.000 0.000 0.000
0.746 0.751 0.493
0.254 0.249 0.507
0.857 0.193 0.715
0.143 0.807 0.285
0.646 0.304 0.291
0.354 0.696 0.709